PBE FeNi2Pd, relaxed; space group = No. 216; formation energy from the elements = 0.0669 eV per atom
1.0
0.0000 2.8807 2.8807
2.8807 0.0000 2.8807
2.8807 2.8807 0.0000
Fe Ni Pd
1 2 1
Direct
0.0000 0.0000 0.0000
0.2500 0.2500 0.2500
0.5000 0.5000 0.5000
0.7500 0.7500 0.7500

***

PBE AcCd2O4, relaxed; space group = No. 227
1.0
0.0000 4.8645 4.8645
4.8645 0.0000 4.8645
4.8645 4.8645 0.0000
Ac Cd O
2 4 8
Direct
0.1250 0.1250 0.1250
0.8750 0.8750 0.8750
0.0000 0.5000 0.5000
0.5000 0.0000 0.5000
0.5000 0.5000 0.0000
0.5000 0.5000 0.5000
0.2627 0.2627 0.2627
0.2627 0.2627 0.7118
0.2627 0.7118 0.2627
0.2882 0.7373 0.7373
0.7118 0.2627 0.2627
0.7373 0.2882 0.7373
0.7373 0.7373 0.2882
0.7373 0.7373 0.7373

***

PBE Ta4Zn3W2C3, relaxed; space group = No. 15
1.0
4.6534 -2.6887 0.0000
4.6534 2.6887 0.0000
-3.1257 0.0000 13.5382
Ta Zn W C
8 6 4 6
Direct
0.0305 0.1967 0.0912
0.1354 0.3035 0.4088
0.1967 0.0305 0.5912
0.3035 0.1354 0.9088
0.6965 0.8646 0.0912
0.8033 0.9695 0.4088
0.8646 0.6965 0.5912
0.9695 0.8033 0.9088
0.1150 0.8850 0.2500
0.2798 0.4174 0.7501
0.4174 0.2798 0.2501
0.5826 0.7202 0.7499
0.7202 0.5826 0.2499
0.8850 0.1150 0.7500
0.3600 0.5273 0.0819
0.4727 0.6400 0.4181
0.5273 0.3600 0.5819
0.6400 0.4727 0.9181
0.0000 0.5000 0.0000
0.1617 0.6691 0.5000
0.3309 0.8383 0.0000
0.5000 0.0000 0.5000
0.6691 0.1617 0.0000
0.8383 0.3309 0.5000

***

PBE CsHoGeS3, relaxed; space group = No. 11
1.0
8.8720 0.0000 0.0000
0.0000 3.9367 0.0000
-4.1738 0.0000 10.3390
Cs Ho Ge S
2 2 2 6
Direct
0.2302 0.2500 0.2731
0.7698 0.7500 0.7269
0.3666 0.7500 0.8471
0.6334 0.2500 0.1529
0.1328 0.2500 0.5650
0.8672 0.7500 0.4350
0.1288 0.2500 0.7731
0.3211 0.7500 0.5880
0.4082 0.7500 0.0993
0.5918 0.2500 0.9007
0.6789 0.2500 0.4120
0.8712 0.7500 0.2269

***

PBE Ho2ScCu4Si2Ge2, relaxed; ΔE to the lowest computed polymorph = 0 meV/atom; space group = No. 71
1.0
-2.0579 3.2407 6.8415
2.0579 -3.2407 6.8415
2.0579 3.2407 -6.8415
Ho Sc Cu Si Ge
2 1 4 2 2
Direct
0.1291 0.1291 0.0000
0.8709 0.8709 0.0000
0.5000 0.0000 0.5000
0.1328 0.3252 0.8076
0.4824 0.6748 0.8076
0.5176 0.3252 0.1924
0.8672 0.6748 0.1924
0.2868 0.7868 0.5000
0.7132 0.2132 0.5000
0.2014 0.5000 0.7014
0.7986 0.5000 0.2986

***

PBE Sm3In3Pd2Pt, relaxed; space group = No. 189
1.0
7.6623 0.0000 0.0000
-3.8312 6.6358 0.0000
0.0000 0.0000 4.0568
Sm In Pd Pt
3 3 2 1
Direct
0.0000 0.5933 0.0000
0.4067 0.4067 0.0000
0.5933 0.0000 0.0000
0.0000 0.2555 0.5000
0.2555 0.0000 0.5000
0.7445 0.7445 0.5000
0.3333 0.6667 0.5000
0.6667 0.3333 0.5000
0.0000 0.0000 0.0000

***

PBE PuBeAl, relaxed; ΔE to the lowest computed polymorph = 378 meV/atom; space group = No. 216
1.0
0.0000 3.1809 3.1809
3.1809 0.0000 3.1809
3.1809 3.1809 0.0000
Pu Be Al
1 1 1
Direct
0.0000 0.0000 0.0000
0.5000 0.5000 0.5000
0.7500 0.7500 0.7500

***

PBE Zr2Nb4Sb3C3, relaxed; space group = No. 15
1.0
5.1172 -2.9575 0.0000
5.1172 2.9575 0.0000
-3.4028 0.0000 13.3104
Zr Nb Sb C
4 8 6 6
Direct
0.0309 0.8661 0.5924
0.1339 0.9691 0.9076
0.8661 0.0309 0.0924
0.9691 0.1339 0.4076
0.1937 0.3579 0.0811
0.3031 0.4758 0.4189
0.3579 0.1937 0.5811
0.4758 0.3031 0.9189
0.5242 0.6969 0.0811
0.6421 0.8063 0.4189
0.6969 0.5242 0.5811
0.8063 0.6421 0.9189
0.0846 0.2651 0.7501
0.2651 0.0846 0.2501
0.4331 0.5669 0.7500
0.5669 0.4331 0.2500
0.7349 0.9154 0.7499
0.9154 0.7349 0.2499
0.0000 0.5000 0.5000
0.1680 0.6644 0.0000
0.3356 0.8320 0.5000
0.5000 0.0000 0.0000
0.6644 0.1680 0.5000
0.8320 0.3356 0.0000

***

PBE ZrCdGaFe, relaxed; ΔE to the lowest computed polymorph = 0 meV/atom; space group = No. 216
1.0
0.0000 3.2685 3.2685
3.2685 0.0000 3.2685
3.2685 3.2685 0.0000
Zr Cd Ga Fe
1 1 1 1
Direct
0.0000 0.0000 0.0000
0.7500 0.7500 0.7500
0.2500 0.2500 0.2500
0.5000 0.5000 0.5000

***

PBE Ag2SnHgTe2Se2, relaxed; ΔE to the lowest computed polymorph = 0 meV/atom; space group = No. 5
1.0
7.0236 -3.1752 0.0000
7.0236 3.1752 0.0000
-2.7896 0.0000 5.6985
Ag Sn Hg Te Se
2 1 1 2 2
Direct
0.2504 0.2504 0.2284
0.7496 0.7496 0.7716
0.4788 0.5212 0.0000
0.0090 0.9910 0.5000
0.6075 0.1285 0.6250
0.8715 0.3925 0.3750
0.1280 0.6216 0.1175
0.3784 0.8720 0.8825

***

PBE YErAu, relaxed; ΔE to the lowest computed polymorph = 0 meV/atom; space group = No. 62; formation energy from the elements = -0.6616 eV per atom
1.0
7.1001 0.0000 0.0000
0.0000 4.9147 0.0000
0.0000 0.0000 8.8523
Y Er Au
4 4 4
Direct
0.0144 0.2500 0.1779
0.4856 0.7500 0.6779
0.5144 0.2500 0.3221
0.9856 0.7500 0.8221
0.1489 0.2500 0.5796
0.3511 0.7500 0.0796
0.6489 0.2500 0.9204
0.8511 0.7500 0.4204
0.2462 0.2500 0.8995
0.2538 0.7500 0.3995
0.7462 0.2500 0.6005
0.7538 0.7500 0.1005

***

PBE KPmSeO, relaxed; ΔE to the lowest computed polymorph = 0 meV/atom; space group = No. 4
1.0
5.9248 0.0000 0.0000
0.0000 5.9287 0.0000
-2.8775 0.0000 11.2987
K Pm Se O
4 4 4 4
Direct
0.0471 0.0000 0.1020
0.4516 0.9986 0.8983
0.5484 0.4986 0.1017
0.9529 0.5000 0.8980
0.0473 0.2603 0.5956
0.4529 0.2602 0.4044
0.5471 0.7602 0.5956
0.9527 0.7603 0.4044
0.0981 0.4996 0.2069
0.4038 0.4977 0.7928
0.5962 0.9977 0.2072
0.9019 0.9996 0.7931
0.2501 0.0112 0.5000
0.2502 0.5112 0.5002
0.7498 0.0112 0.4998
0.7499 0.5112 0.5000

***

PBE HoInHg, relaxed; space group = No. 216
1.0
0.0000 3.4541 3.4541
3.4541 0.0000 3.4541
3.4541 3.4541 0.0000
Ho In Hg
1 1 1
Direct
0.0000 0.0000 0.0000
0.7500 0.7500 0.7500
0.5000 0.5000 0.5000

***

PBE LaAl5CoCu, relaxed; space group = No. 44
1.0
-2.0102 3.5627 4.8438
2.0102 -3.5627 4.8438
2.0102 3.5627 -4.8438
La Al Co Cu
1 5 1 1
Direct
0.0000 0.0000 0.0000
0.1568 0.3394 0.8174
0.4582 0.6539 0.8043
0.4972 0.9972 0.5000
0.5220 0.3394 0.1826
0.8497 0.6539 0.1957
0.2622 0.7622 0.5000
0.7422 0.2422 0.5000

***

PBE HoHfCu, relaxed; space group = No. 216; formation energy from the elements = 1.1071 eV per atom
1.0
0.0000 3.2937 3.2937
3.2937 0.0000 3.2937
3.2937 3.2937 0.0000
Ho Hf Cu
1 1 1
Direct
0.0000 0.0000 0.0000
0.2500 0.2500 0.2500
0.7500 0.7500 0.7500

***

no.,E_tot (eV/atom)
1,-6.09
2,-5.27
3,-8.97
4,-5.09
5,-5.20
6,-5.15
7,-6.74
8,-8.66
9,-5.16
10,-3.10
11,-5.43
12,-5.80
13,-2.75
14,-4.77
15,-4.98